Crystalline Al2PH2 at its relaxed geometry, computed with PBE.

Output
Theoretical density in g/cm³: 2.70
D(E_F) in states/eV/f.u.: 1.1
Raw total energy in eV for the cell shown: -34.9

Structure (CIF):
```
data_Al2PH2
_space_group_name_H-M_alt 'P 4/m b m'
_space_group_IT_number 127
_space_group_name_Hall '-P 4 2ab'
_cell_length_a 6.3791
_cell_length_b 6.3791
_cell_length_c 2.6277
_cell_angle_alpha 90.00
_cell_angle_beta 90.00
_cell_angle_gamma 90.00
loop_
_atom_site_label
_atom_site_type_symbol
_atom_site_fract_x
_atom_site_fract_y
_atom_site_fract_z
Al1 Al 0.1485 0.3515 0.0000
P1 P 0.0000 0.0000 0.5000
H1 H 0.1080 0.6080 0.5000
```